Crystalline Ba2TlGe at its relaxed geometry, computed with PBE-GGA.

E_tot = -0.228 Ry per atom
DFT formation energy = -0.388 eV/atom

Cell lengths 4.165, 4.165, 8.396 Å; angles 90.00, 90.00, 90.00 degrees
Atoms (fractional coordinates):
Tl1 0.500 0.500 0.500
Ge1 0.500 0.500 0.000
Ba1 0.000 0.000 0.778
Ba2 0.000 0.000 0.222

Crystalline BaTl4Pd3 at its relaxed geometry, computed with PBE-GGA.

E_tot = -0.269 Ry per atom
DFT formation energy = -0.284 eV/atom

Cell lengths 4.763, 4.763, 9.208 Å; angles 90.00, 90.00, 90.00 degrees
Atoms (fractional coordinates):
Tl1 0.000 0.500 0.180
Tl2 0.000 0.500 0.820
Tl3 0.500 0.000 0.820
Tl4 0.500 0.000 0.180
Ba1 0.000 0.000 0.500
Pd1 0.000 0.000 0.000
Pd2 0.500 0.500 0.354
Pd3 0.500 0.500 0.646

Crystalline SrCaAsSe2 at its relaxed geometry, computed with PBE-GGA.

E_tot = -0.274 Ry per atom
ΔE_f (raw) = -670 meV per atom

Cell lengths 5.457, 5.457, 5.319 Å; angles 90.00, 90.00, 90.00 degrees
Atoms (fractional coordinates):
Sr1 0.500 0.500 0.500
As1 0.000 0.000 0.500
Ca1 0.000 0.000 0.000
Se1 0.000 0.500 0.000
Se2 0.500 0.000 0.000